Record 1
DFT (PBE-GGA) results for a relaxed structure of Ga6Pt3Rh.

The calculation puts the density of states at the Fermi level at 6.15 states/eV/cell. The value obtained for the calculated formation energy is -498 meV/atom.

Cell lengths 6.726, 6.258, 9.856 Å; angles 90.00, 122.57, 90.00 degrees
Space group P2_1/c (No. 14)
Inequivalent atoms, fractional coordinates:
1 Ga 0.080 0.009 0.280 x4
2 Ga 0.250 0.167 0.592 x4
3 Ga 0.401 0.640 0.565 x4
4 Pt 0.000 0.000 0.000 x2
5 Pt 0.300 0.660 0.264 x4
6 Rh 0.500 0.000 0.500 x2

---

Record 2
DFT (PBE-GGA) results for a relaxed structure of VCrB.

The calculation puts the density of states at the Fermi level at 2.61 states/eV/cell. The value obtained for the calculated formation energy is -93 meV/atom.

Cell lengths 3.970, 3.084, 5.379 Å; angles 90.00, 111.47, 90.00 degrees
Space group Cm (No. 8)
Inequivalent atoms, fractional coordinates:
1 V 0.000 0.000 0.000 x2
2 Cr 0.291 0.000 0.579 x2
3 B 0.150 0.500 0.300 x2

---

Record 3
DFT (PBE-GGA) results for a relaxed structure of PmEr2Cd2.

The calculation puts the density of states at the Fermi level at 10.09 states/eV/cell. The value obtained for the calculated formation energy is -251 meV/atom.

Cell lengths 3.715, 5.388, 13.901 Å; angles 90.00, 97.68, 90.00 degrees
Space group P2_1/m (No. 11)
Inequivalent atoms, fractional coordinates:
1 Pm 0.149 0.250 0.297 x2
2 Er 0.047 0.750 0.093 x2
3 Er 0.236 0.750 0.473 x2
4 Cd 0.358 0.250 0.717 x2
5 Cd 0.452 0.750 0.904 x2

---

Record 4
DFT (PBE-GGA) results for a relaxed structure of MnBiI6.

The calculation puts the density of states at the Fermi level at 13.09 states/eV/cell. For the formation energy without anion corrections, the calculation gives -2.3 eV/f.u.

Cell lengths 7.3522, 7.3522, 20.0452 Å; angles 90.00, 90.00, 120.00 degrees
Space group R-3 (No. 148, hexagonal axes)
Inequivalent atoms, fractional coordinates:
1 Mn 0.0000 0.0000 0.0000 x3
2 Bi 0.0000 0.0000 0.5000 x3
3 I 0.0115 0.6924 0.9213 x18

---

Record 5
DFT (PBE-GGA) results for a relaxed structure of LiPaTe2.

The calculation puts the density of states at the Fermi level at 15.68 states/eV/cell. For the formation energy without anion corrections, the calculation gives -3.4 eV/f.u.

Cell lengths 4.2025, 4.2025, 22.2040 Å; angles 90.00, 90.00, 120.00 degrees
Space group R-3m (No. 166, hexagonal axes)
Inequivalent atoms, fractional coordinates:
1 Li 0.0000 0.0000 0.0000 x3
2 Pa 0.0000 0.0000 0.5000 x3
3 Te 0.0000 0.0000 0.2551 x6

---

Record 6
DFT (PBE-GGA) results for a relaxed structure of PrDy9Tl2.

The calculation puts the density of states at the Fermi level at 15.33 states/eV/cell. The value obtained for the calculated formation energy is -102 meV/atom.

Cell lengths 4.878, 4.878, 15.099 Å; angles 90.00, 90.00, 90.00 degrees
Space group P4/mmm (No. 123)
Inequivalent atoms, fractional coordinates:
1 Pr 0.000 0.000 0.000 x1
2 Dy 0.000 0.500 0.175 x4
3 Dy 0.000 0.500 0.500 x2
4 Dy 0.500 0.500 0.000 x1
5 Dy 0.500 0.500 0.339 x2
6 Tl 0.000 0.000 0.340 x2

---

Record 7
DFT (PBE-GGA) results for a relaxed structure of CaIn3Ag.

The calculation puts the density of states at the Fermi level at 3.96 states/eV/cell. The value obtained for the calculated formation energy is -244 meV/atom.

Cell lengths 7.435, 4.624, 7.655 Å; angles 90.00, 104.70, 90.00 degrees
Space group P2_1/m (No. 11)
Inequivalent atoms, fractional coordinates:
1 Ca 0.206 0.250 0.179 x2
2 In 0.061 0.250 0.661 x2
3 In 0.283 0.750 0.900 x2
4 In 0.345 0.750 0.520 x2
5 Ag 0.462 0.250 0.757 x2

---

Record 8
DFT (PBE-GGA) results for a relaxed structure of ZnP2I.

The calculation puts the density of states at the Fermi level at 15.16 states/eV/cell. For the formation energy without anion corrections, the calculation gives 3.8 eV/f.u.

Cell lengths 6.807, 6.807, 6.807 Å; angles 90.00, 90.00, 90.00 degrees
Space group Fm-3m (No. 225)
Inequivalent atoms, fractional coordinates:
1 Zn 0.000 0.000 0.000 x4
2 P 0.250 0.250 0.250 x8
3 I 0.000 0.000 0.500 x4